The following is a PBE+U calculation of a relaxed PrCr3B4O12 crystal, from Alexandria.

Structure (POSCAR):
```
PrCr3B4O12
1.0
4.8247 2.7855 2.5669
-4.8247 2.7855 2.5669
0.0000 -5.5710 2.5669
Pr Cr B O
1 3 4 12
direct
0.0000 0.0000 0.0000
0.0000 0.5550 0.4450
0.4450 0.0000 0.5550
0.5550 0.4450 0.0000
0.0572 0.5000 0.9428
0.5000 0.5000 0.5000
0.5000 0.9428 0.0572
0.9428 0.0572 0.5000
0.0301 0.6256 0.7859
0.0878 0.9122 0.5000
0.2141 0.3744 0.9699
0.3559 0.6441 0.5000
0.3744 0.9699 0.2141
0.5000 0.0878 0.9122
0.5000 0.3559 0.6441
0.6256 0.7859 0.0301
0.6441 0.5000 0.3559
0.7859 0.0301 0.6256
0.9122 0.5000 0.0878
0.9699 0.2141 0.3744
```

Values from the calculation:
Final energy ... -8.0943 eV/atom
Volume ... 10.35 Å³ per atom
Total magnetic moment ... 8.99 μB/cell
N(E_F) ... 0.0 states/eV/cell